## Ge2WBr2 (PBE)

Data for a geometry-optimized Ge2WBr2 structure.

total magnetic moment: 1.348 Bohr magnetons per cell
N(E_F): 0.57 states/eV per atom
calculated volume: 27.4 Å³ per atom
space-group type: I4/mmm (139)
formation energy (no corrections): 0.892 eV/atom

Cell lengths 3.640, 3.640, 10.655 Å; angles 80.17, 80.17, 90.00 degrees
Site moments in Bohr magnetons follow the coordinates.
Positions (direct):
Ge 0.438 0.438 0.125  0.01
Ge 0.562 0.562 0.875  0.01
Br 0.750 0.250 0.500  -0.02
Br 0.250 0.750 0.500  -0.02
W 0.000 0.000 0.000  1.04

---

## GeWBr2 (PBE)

Data for a geometry-optimized GeWBr2 structure.

total magnetic moment: 3.670 Bohr magnetons per cell
N(E_F): 0.73 states/eV per atom
calculated volume: 27.1 Å³ per atom
space-group type: I-42d (122)
formation energy (no corrections): 0.475 eV/atom

Cell lengths 9.328, 9.328, 7.052 Å; angles 48.59, 48.59, 90.00 degrees
Site moments in Bohr magnetons follow the coordinates.
Positions (direct):
Ge 0.500 0.500 0.000  0.06
Ge 0.250 0.750 0.500  0.06
Br 0.764 0.125 0.250  0.06
Br 0.986 0.625 0.250  0.06
Br 0.375 0.236 0.750  0.06
Br 0.875 0.014 0.750  0.06
W 0.000 0.000 0.000  1.21
W 0.750 0.250 0.500  1.21

---

## Ge2WBr2 (PBE)

Data for a geometry-optimized Ge2WBr2 structure.

total magnetic moment: 5.221 Bohr magnetons per cell
N(E_F): 0.93 states/eV per atom
calculated volume: 27.7 Å³ per atom
space-group type: P4/mbm (127)
formation energy (no corrections): 0.645 eV/atom

Cell lengths 7.235, 7.235, 5.297 Å; angles 90.00, 90.00, 90.00 degrees
Site moments in Bohr magnetons follow the coordinates.
Positions (direct):
Ge 0.253 0.753 0.000  -0.01
Ge 0.753 0.747 0.000  -0.02
Ge 0.747 0.247 0.000  -0.01
Ge 0.247 0.253 0.000  -0.02
Br 0.192 0.692 0.500  0.05
Br 0.692 0.808 0.500  0.06
Br 0.808 0.308 0.500  0.05
Br 0.308 0.192 0.500  0.06
W 0.000 0.000 0.000  1.90
W 0.500 0.500 0.000  1.90

---

## GeWBr2 (PBE)

Data for a geometry-optimized GeWBr2 structure.

total magnetic moment: 0.001 Bohr magnetons per cell
N(E_F): 1.16 states/eV per atom
calculated volume: 18.9 Å³ per atom
space-group type: Fm-3m (225)
formation energy (no corrections): 1.109 eV/atom

Cell lengths 4.750, 4.750, 4.750 Å; angles 60.00, 60.00, 60.00 degrees
Positions (direct):
Ge 0.000 0.000 0.000
Br 0.250 0.250 0.250
Br 0.750 0.750 0.750
W 0.500 0.500 0.500

---

What did the fourth record say?
## GeWBr2 (PBE)

Data for a geometry-optimized GeWBr2 structure.

total magnetic moment: 0.001 Bohr magnetons per cell
N(E_F): 1.16 states/eV per atom
calculated volume: 18.9 Å³ per atom
space-group type: Fm-3m (225)
formation energy (no corrections): 1.109 eV/atom

Cell lengths 4.750, 4.750, 4.750 Å; angles 60.00, 60.00, 60.00 degrees
Positions (direct):
Ge 0.000 0.000 0.000
Br 0.250 0.250 0.250
Br 0.750 0.750 0.750
W 0.500 0.500 0.500

---

> Look up the N(E_F) of the fourth one.

1.16 states/eV per atom

---

> Which formula does entry 4 have?

GeWBr2

---

Please write out number 3 again, unchanged.
## Ge2WBr2 (PBE)

Data for a geometry-optimized Ge2WBr2 structure.

total magnetic moment: 5.221 Bohr magnetons per cell
N(E_F): 0.93 states/eV per atom
calculated volume: 27.7 Å³ per atom
space-group type: P4/mbm (127)
formation energy (no corrections): 0.645 eV/atom

Cell lengths 7.235, 7.235, 5.297 Å; angles 90.00, 90.00, 90.00 degrees
Site moments in Bohr magnetons follow the coordinates.
Positions (direct):
Ge 0.253 0.753 0.000  -0.01
Ge 0.753 0.747 0.000  -0.02
Ge 0.747 0.247 0.000  -0.01
Ge 0.247 0.253 0.000  -0.02
Br 0.192 0.692 0.500  0.05
Br 0.692 0.808 0.500  0.06
Br 0.808 0.308 0.500  0.05
Br 0.308 0.192 0.500  0.06
W 0.000 0.000 0.000  1.90
W 0.500 0.500 0.000  1.90